(1)
Here is Er3TlSe after structural relaxation from Alexandria via LeMat-Bulk. Energies are from PBE.

Its energy above the most stable polymorph in this dataset is 0.000 eV per atom. The total moment is 0.0 μB/f.u. The calculation puts the density of states at the Fermi level at 20.036 states/eV per cell. The energy relative to the elements, uncorrected is -19.15 kcal/mol of atoms.

The structure belongs to space group Pnma (No. 62); the cell edges are 9.1876, 3.9367 and 14.9274 Å and the angles 90.00°, 90.00° and 90.00°. The asymmetric unit holds Er at (0.0382, 0.2500, 0.1155), Er at (0.1617, 0.2500, 0.5212), Er at (0.2179, 0.7500, 0.2733), Tl at (0.0458, 0.7500, 0.6730) and Se at (0.1619, 0.2500, 0.9435).

---

(2)
Here is Ba2Pb2S after structural relaxation from Alexandria via LeMat-Bulk. Energies are from PBE.

Its energy above the most stable polymorph in this dataset is 0.325 eV per atom. The total moment is 0.0 μB/f.u. The calculation puts the density of states at the Fermi level at 10.082 states/eV per cell. The energy relative to the elements, uncorrected is -7.83 kcal/mol of atoms.

The structure belongs to space group I4/mmm (No. 139); the cell edges are 6.8509, 6.8509 and 8.7107 Å and the angles 90.00°, 90.00° and 90.00°. The asymmetric unit holds Ba at (0.0000, 0.5000, 0.2500), Pb at (0.0000, 0.0000, 0.1694) and S at (0.0000, 0.0000, 0.5000).